Density functional theory data (GGA-PBEsol) for an optimized crystal structure of Mg2RuPb.

Results
Spin magnetization (μB per formula unit): 0.00
Energy of formation (eV/atom): 0.09
Total DFT energy (no corrections) (eV per atom): -4.310
SG: I-4m2

Lattice parameters (Å, degrees): 4.149 4.139 5.128 113.80 113.86 90.00
Fractional positions:
Mg1 0.000 0.000 0.000
Mg2 0.750 0.250 0.500
Pb1 0.500 0.500 0.000
Ru1 0.250 0.750 0.500